No. 1
Here is a PBEsol-optimized structure of HoFe10Si2 from Alexandria via LeMat-Bulk. Energies are from SCAN.

a b c (Å): 6.227 6.227 6.227
angles (deg): 136.30 98.29 97.63
Element x y z (fractional)
Ho: 0.000 0.000 0.000
Fe: 0.000 0.000 0.500
Fe: 0.000 0.500 0.000
Fe: 0.212 0.500 0.712
Fe: 0.355 0.000 0.355
Fe: 0.362 0.362 0.000
Fe: 0.500 0.000 0.000
Fe: 0.500 0.500 0.500
Fe: 0.638 0.638 0.000
Fe: 0.645 0.000 0.645
Fe: 0.788 0.500 0.288
Si: 0.235 0.735 0.500
Si: 0.765 0.265 0.500

Computed properties:
Its crystal system is orthorhombic. Its formation energy (no corrections) is -300 kJ/mol of formula units. Its density of states at the Fermi level is 0.551 states/eV/atom.

No. 2
Here is a PBEsol-optimized structure of HoFe2Si2 from Alexandria via LeMat-Bulk. Energies are from SCAN.

a b c (Å): 5.450 5.450 5.450
angles (deg): 138.10 138.10 60.75
Element x y z (fractional)
Ho: 0.000 0.000 0.000
Fe: 0.250 0.750 0.500
Fe: 0.750 0.250 0.500
Si: 0.367 0.367 0.000
Si: 0.633 0.633 0.000

Computed properties:
Its crystal system is tetragonal. Its formation energy (no corrections) is -277 kJ/mol of formula units. Its density of states at the Fermi level is 1.006 states/eV/atom.

No. 3
Here is a PBEsol-optimized structure of InFeReI2 from Alexandria via LeMat-Bulk. Energies are from SCAN.

a b c (Å): 5.891 5.891 5.334
angles (deg): 90.00 90.00 90.00
Element x y z (fractional)
In: 0.000 0.000 0.000
Fe: 0.500 0.500 0.500
Re: 0.000 0.000 0.500
I: 0.000 0.500 0.000
I: 0.500 0.000 0.000

Computed properties:
Its crystal system is tetragonal. Its formation energy (no corrections) is 883 kJ/mol of formula units. Its density of states at the Fermi level is 1.333 states/eV/atom.

No. 4
Here is a PBEsol-optimized structure of In2FeTeI from Alexandria via LeMat-Bulk. Energies are from SCAN.

a b c (Å): 5.206 5.206 4.697
angles (deg): 90.00 90.00 90.00
Element x y z (fractional)
In: 0.000 0.500 0.000
In: 0.500 0.000 0.000
Fe: 0.000 0.000 0.000
Te: 0.000 0.000 0.500
I: 0.500 0.500 0.500

Computed properties:
Its crystal system is tetragonal. Its formation energy (no corrections) is 28 kJ/mol of formula units. Its density of states at the Fermi level is 0.471 states/eV/atom.